Record 1
# Sc2TcHRu

An optimized crystal structure of Sc2TcHRu (GGA-PBE, the Alexandria database).

Properties
Raw total energy (eV per atom): -7.4722
Symmetry: P4/mmm (123)

Lattice parameters (Å, degrees): 4.5417 4.5417 3.4215 90.00 90.00 90.00
Last column: nearest neighbours and their distance in Å.
Sites, in units of the cell vectors:
Sc (0.0000, 0.5000, 0.0000)  2 H 2.27
Sc (0.5000, 0.0000, 0.0000)  2 H 2.27
Tc (0.0000, 0.0000, 0.5000)  2 H 1.71
H (0.0000, 0.0000, 0.0000)  2 Tc 1.71
Ru (0.5000, 0.5000, 0.5000)  8 Sc 2.84


Record 2
# TbY2Zn6

An optimized crystal structure of TbY2Zn6 (GGA-PBE, the Alexandria database).

Properties
Formation energy (eV per atom): -0.393
Symmetry: P6/mmm (191)

Lattice parameters (Å, degrees): 7.7488 7.7488 3.5328 90.00 90.00 120.00
Last column: nearest neighbours and their distance in Å.
Sites, in units of the cell vectors:
Tb (0.0000, 0.0000, 0.0000)  12 Zn 3.13
Y (0.3333, 0.6667, 0.0000)  12 Zn 3.13
Y (0.6667, 0.3333, 0.0000)  12 Zn 3.13
Zn (0.0000, 0.3336, 0.5000)  3 Zn 2.58
Zn (0.0000, 0.6664, 0.5000)  3 Zn 2.58
Zn (0.3336, 0.0000, 0.5000)  3 Zn 2.58
Zn (0.3336, 0.3336, 0.5000)  3 Zn 2.58
Zn (0.6664, 0.0000, 0.5000)  3 Zn 2.58
Zn (0.6664, 0.6664, 0.5000)  3 Zn 2.58


Record 3
# LaZnIn2

An optimized crystal structure of LaZnIn2 (GGA-PBE, the Alexandria database).

Properties
Formation energy (eV per atom): -0.241
Symmetry: P2/m (10)

Lattice parameters (Å, degrees): 3.5685 4.7105 6.3224 90.00 98.96 90.00
Last column: nearest neighbours and their distance in Å.
Sites, in units of the cell vectors:
La (0.0000, 0.0000, 0.0000)  8 In 3.33-3.51, 2 Zn 3.38, 2 La 3.57
Zn (0.5000, 0.0000, 0.5000)  4 In 2.82
In (0.3766, 0.5000, 0.7255)  2 Zn 2.82, 1 In 3.11
In (0.6234, 0.5000, 0.2745)  2 Zn 2.82, 1 In 3.11


Record 4
# LaMnTe2

An optimized crystal structure of LaMnTe2 (GGA-PBE, the Alexandria database).

Properties
E_form (uncorrected) (eV per atom): -0.0129
Symmetry: R-3m (166)

Lattice parameters (Å, degrees): 9.9633 9.9633 9.9633 20.70 20.70 20.70
Last column: nearest neighbours and their distance in Å.
Sites, in units of the cell vectors:
La (0.0000, 0.0000, 0.0000)  2 Te 3.27, 6 La 3.58
Mn (0.5000, 0.5000, 0.5000)  6 Te 2.61
Te (0.1119, 0.1119, 0.1119)  3 Mn 2.61
Te (0.8881, 0.8881, 0.8881)  3 Mn 2.61


Record 5
# Cd2BiN2

An optimized crystal structure of Cd2BiN2 (GGA-PBE, the Alexandria database).

Properties
E_form (uncorrected) (eV per atom): 0.6712
Symmetry: P-3m1 (164)

Lattice parameters (Å, degrees): 3.5359 3.5359 7.9555 90.00 90.00 120.00
Last column: nearest neighbours and their distance in Å.
Sites, in units of the cell vectors:
Cd (0.3333, 0.6667, 0.1507)  3 N 2.42
Cd (0.6667, 0.3333, 0.8493)  3 N 2.42
Bi (0.0000, 0.0000, 0.5000)  6 N 2.52
N (0.3333, 0.6667, 0.6864)  3 Cd 2.42, 3 Bi 2.52
N (0.6667, 0.3333, 0.3136)  3 Cd 2.42, 3 Bi 2.52